[1]
Density functional theory data (GGA-PBE) for a relaxed YBeNiI2 crystal.

Computed properties:
energy	-3.18	eV per atom

Cell and atoms, written as CIF:
```
data_YBeNiI2
_chemical_formula_sum 'Y1 Be1 Ni1 I2'
_cell_length_a 4.947
_cell_length_b 4.947
_cell_length_c 5.286
_cell_angle_alpha 90.00
_cell_angle_beta 90.00
_cell_angle_gamma 90.00
_symmetry_space_group_name_H-M 'P 4/m m m'
_symmetry_Int_Tables_number 123
_symmetry_space_group_name_Hall '-P 4 2'
loop_
_atom_site_label
_atom_site_type_symbol
_atom_site_fract_x
_atom_site_fract_y
_atom_site_fract_z
Y1 Y 0.000 0.000 0.000
Be1 Be 0.000 0.000 0.500
Ni1 Ni 0.500 0.500 0.000
I1 I 0.000 0.500 0.500
```

=====

[2]
Density functional theory data (GGA-PBE) for a relaxed AcRh4O12 crystal.

Computed properties:
energy	-6.22	eV per atom

Cell and atoms, written as CIF:
```
data_AcRh4O12
_chemical_formula_sum 'Ac2 Rh8 O24'
_cell_length_a 7.549
_cell_length_b 7.549
_cell_length_c 7.549
_cell_angle_alpha 90.00
_cell_angle_beta 90.00
_cell_angle_gamma 90.00
_symmetry_space_group_name_H-M 'I m -3'
_symmetry_Int_Tables_number 204
_symmetry_space_group_name_Hall '-I 2 2 3'
loop_
_atom_site_label
_atom_site_type_symbol
_atom_site_fract_x
_atom_site_fract_y
_atom_site_fract_z
Ac1 Ac 0.000 0.000 0.000
Rh1 Rh 0.250 0.250 0.250
O1 O 0.000 0.184 0.293
```

=====

[3]
Density functional theory data (GGA-PBE) for a relaxed CeSiI crystal.

Computed properties:
energy	-5.33	eV per atom

Cell and atoms, written as CIF:
```
data_CeSiI
_chemical_formula_sum 'Ce4 Si4 I4'
_cell_length_a 7.187
_cell_length_b 4.153
_cell_length_c 12.276
_cell_angle_alpha 90.00
_cell_angle_beta 96.09
_cell_angle_gamma 90.00
_symmetry_space_group_name_H-M 'C 1 2/m 1'
_symmetry_Int_Tables_number 12
_symmetry_space_group_name_Hall '-C 2y'
loop_
_atom_site_label
_atom_site_type_symbol
_atom_site_fract_x
_atom_site_fract_y
_atom_site_fract_z
Ce1 Ce 0.029 0.000 0.158
Si1 Si 0.166 0.500 0.996
I1 I 0.227 0.500 0.336
```

=====

[4]
Density functional theory data (GGA-PBE) for a relaxed NdAgHgGe crystal.

Computed properties:
energy	-3.47	eV per atom
E_form	-32.0	kJ per mole of atoms

Cell and atoms, written as CIF:
```
data_NdAgHgGe
_chemical_formula_sum 'Nd4 Ag4 Hg4 Ge4'
_cell_length_a 7.151
_cell_length_b 7.151
_cell_length_c 7.151
_cell_angle_alpha 90.00
_cell_angle_beta 90.00
_cell_angle_gamma 90.00
_symmetry_space_group_name_H-M 'F -4 3 m'
_symmetry_Int_Tables_number 216
_symmetry_space_group_name_Hall 'F -4 2 3'
loop_
_atom_site_label
_atom_site_type_symbol
_atom_site_fract_x
_atom_site_fract_y
_atom_site_fract_z
Nd1 Nd 0.000 0.000 0.000
Ag1 Ag 0.000 0.000 0.500
Hg1 Hg 0.250 0.250 0.250
Ge1 Ge 0.250 0.250 0.750
```

=====

[5]
Density functional theory data (GGA-PBE) for a relaxed ScTlPd crystal.

Computed properties:
energy	-5.13	eV per atom
E_form	-48.0	kJ per mole of atoms

Cell and atoms, written as CIF:
```
data_ScTlPd
_chemical_formula_sum 'Sc2 Tl2 Pd2'
_cell_length_a 3.626
_cell_length_b 3.626
_cell_length_c 9.173
_cell_angle_alpha 90.00
_cell_angle_beta 90.00
_cell_angle_gamma 90.00
_symmetry_space_group_name_H-M 'I 4 m m'
_symmetry_Int_Tables_number 107
_symmetry_space_group_name_Hall 'I 4 -2'
loop_
_atom_site_label
_atom_site_type_symbol
_atom_site_fract_x
_atom_site_fract_y
_atom_site_fract_z
Sc1 Sc 0.000 0.000 0.000
Tl1 Tl 0.000 0.000 0.683
Pd1 Pd 0.000 0.000 0.356
```

=====

[6]
Density functional theory data (GGA-PBE) for a relaxed Pm4Y3S8 crystal.

Computed properties:
energy	-6.80	eV per atom

Cell and atoms, written as CIF:
```
data_Pm4Y3S8
_chemical_formula_sum 'Pm8 Y6 S16'
_cell_length_a 11.234
_cell_length_b 11.239
_cell_length_c 7.936
_cell_angle_alpha 90.00
_cell_angle_beta 134.89
_cell_angle_gamma 90.00
_symmetry_space_group_name_H-M 'C 1 2/m 1'
_symmetry_Int_Tables_number 12
_symmetry_space_group_name_Hall '-C 2y'
loop_
_atom_site_label
_atom_site_type_symbol
_atom_site_fract_x
_atom_site_fract_y
_atom_site_fract_z
Pm1 Pm 0.000 0.000 0.000
Pm2 Pm 0.000 0.500 0.500
Pm3 Pm 0.250 0.250 0.000
Y1 Y 0.000 0.500 0.000
Y2 Y 0.250 0.250 0.500
S1 S 0.000 0.247 0.500
S2 S 0.000 0.253 0.000
S3 S 0.249 0.500 0.005
S4 S 0.250 0.000 0.507
```

=====

[7]
Density functional theory data (GGA-PBE) for a relaxed ZnPHO2 crystal.

Computed properties:
energy	-3.17	eV per atom

Cell and atoms, written as CIF:
```
data_ZnPHO2
_chemical_formula_sum 'Zn1 P1 H1 O2'
_cell_length_a 3.666
_cell_length_b 3.666
_cell_length_c 5.414
_cell_angle_alpha 90.00
_cell_angle_beta 90.00
_cell_angle_gamma 90.00
_symmetry_space_group_name_H-M 'P 4/m m m'
_symmetry_Int_Tables_number 123
_symmetry_space_group_name_Hall '-P 4 2'
loop_
_atom_site_label
_atom_site_type_symbol
_atom_site_fract_x
_atom_site_fract_y
_atom_site_fract_z
Zn1 Zn 0.000 0.000 0.000
P1 P 0.000 0.000 0.500
H1 H 0.500 0.500 0.500
O1 O 0.000 0.500 0.000
```

=====

[8]
Density functional theory data (GGA-PBE) for a relaxed Be2SiTe crystal.

Computed properties:
energy	-3.29	eV per atom

Cell and atoms, written as CIF:
```
data_Be2SiTe
_chemical_formula_sum 'Be4 Si2 Te2'
_cell_length_a 3.565
_cell_length_b 3.565
_cell_length_c 10.173
_cell_angle_alpha 90.00
_cell_angle_beta 90.00
_cell_angle_gamma 90.00
_symmetry_space_group_name_H-M 'I -4 m 2'
_symmetry_Int_Tables_number 119
_symmetry_space_group_name_Hall 'I -4 -2'
loop_
_atom_site_label
_atom_site_type_symbol
_atom_site_fract_x
_atom_site_fract_y
_atom_site_fract_z
Be1 Be 0.000 0.000 0.000
Be2 Be 0.000 0.500 0.250
Si1 Si 0.000 0.500 0.750
Te1 Te 0.000 0.000 0.500
```